LiIF3: relaxed, PBE.

```
5
Lattice="4.803 0.000 0.000 0.000 4.803 0.000 0.000 0.000 4.803" Properties=species:S:1:pos:R:3 pbc="T T T"
I 0.000 0.000 0.000
Li 2.402 2.402 2.402
F 0.000 2.402 0.000
F 0.000 0.000 2.402
F 2.402 0.000 0.000
```

Calculated values
E above lowest polymorph (meV per atom): 247.6
Electronic total energy (eV/atom): -2.958
Energy relative to the elements, uncorrected (eV/atom): -1.1424
Space-group type: Pm-3m (221)
Size of the total moment (μB per formula unit): 0.00